1.
Material: CaTa2W
Method: DFT, PBE
State: optimized geometry

The density of states at the Fermi level is 3.960 states/eV per cell. The calculation puts the energy above the most stable polymorph in this dataset at 283.5 meV per atom. The value obtained for the magnetic moment is 0.000 μB/f.u. The total energy is -8.969 eV/atom. The volume comes out at 20.36 Å³/atom. As for the calculated formation energy: 0.70 eV/atom.

It has space group Pmmm (No. 47), with a = 2.7934 Å, b = 4.5883 Å, c = 6.3548 Å, α = 90.00°, β = 90.00° and γ = 90.00°. Symmetry generates all atoms from Ca at (0.0000, 0.0000, 0.0000), Ta at (0.5000, 0.5000, 0.2891) and W at (0.0000, 0.0000, 0.5000).

=====

2.
Material: CaTaW2
Method: DFT, PBE
State: optimized geometry

The density of states at the Fermi level is 12.877 states/eV per cell. The calculation puts the energy above the most stable polymorph in this dataset at 308.0 meV per atom. The value obtained for the magnetic moment is 0.000 μB/f.u. The total energy is -9.145 eV/atom. The volume comes out at 18.97 Å³/atom. As for the calculated formation energy: 0.79 eV/atom.

It has space group R3m (No. 160, hexagonal axes), with a = 2.8717 Å, b = 2.8717 Å, c = 31.8672 Å, α = 90.00°, β = 90.00° and γ = 120.00°. Symmetry generates all atoms from Ca at (0.0000, 0.0000, 0.0000), Ta at (0.0000, 0.0000, 0.2420), W at (0.0000, 0.0000, 0.4959) and W at (0.0000, 0.0000, 0.7531).